{
  "formula": "KTl2P2",
  "functional": "PBE-GGA",
  "state": "relaxed",
  "lattice": [[-3.604, 2.166, -2.565], [-1.062, -4.305, -2.143], [-6.159, -2.290, 1.992]],
  "species": ["P", "K", "P", "Tl", "Tl"],
  "frac_coords": [[0.590, 0.590, 0.820], [0.000, 0.000, 0.000], [0.410, 0.410, 0.180], [0.250, 0.750, 0.500], [0.750, 0.250, 0.500]],
  "n_ef_per_ev_atom": 0.739,
  "e_above_lowest_polymorph_kj_per_mol_atoms": 0.0
}

{
  "formula": "K2TlP2",
  "functional": "PBE-GGA",
  "state": "relaxed",
  "lattice": [[7.542, 0.000, 0.000], [0.000, 7.542, 0.000], [0.000, 0.000, 5.167]],
  "species": ["Tl", "K", "P", "P", "K", "K", "K", "Tl", "P", "P"],
  "frac_coords": [[0.000, 0.000, 0.000], [0.319, 0.181, 0.500], [0.100, 0.400, 0.000], [0.900, 0.600, 0.000], [0.181, 0.681, 0.500], [0.819, 0.319, 0.500], [0.681, 0.819, 0.500], [0.500, 0.500, 0.000], [0.600, 0.100, 0.000], [0.400, 0.900, 0.000]],
  "n_ef_per_ev_atom": 0.484,
  "e_above_lowest_polymorph_kj_per_mol_atoms": 0.0
}

{
  "formula": "KTl2P",
  "functional": "PBE-GGA",
  "state": "relaxed",
  "lattice": [[6.319, 0.010, 0.000], [-3.085, 5.515, 0.000], [0.000, 0.000, 3.287]],
  "species": ["Tl", "P", "K", "Tl"],
  "frac_coords": [[0.000, 0.000, 0.000], [0.000, 0.500, 0.500], [0.500, 0.000, 0.500], [0.500, 0.500, 0.000]],
  "n_ef_per_ev_atom": 0.517,
  "e_above_lowest_polymorph_kj_per_mol_atoms": 33.1
}

{
  "formula": "KTlP",
  "functional": "PBE-GGA",
  "state": "relaxed",
  "lattice": [[-4.923, 1.270, 0.598], [-3.564, -3.659, 0.341], [-2.346, -0.880, 4.464]],
  "species": ["Tl", "P", "K"],
  "frac_coords": [[0.000, 0.000, 0.000], [0.750, 0.750, 0.750], [0.500, 0.500, 0.500]],
  "n_ef_per_ev_atom": 0.436,
  "e_above_lowest_polymorph_kj_per_mol_atoms": 4.5
}

What is the formula in the first record? KTl2P2